[1]
{"formula": "Co5Mo3", "functional": "PBE", "state": "relaxed", "ef_ev_per_atom": 0.2035, "de_polymorph_mev_per_atom": 146, "rho_g_cm3": 9.46, "lattice": [[-6.2352, -1.5522, 0.2900], [4.9056, 0.5425, 4.1246], [-1.0172, 7.4664, -1.1230]], "species": ["Co", "Co", "Co", "Co", "Co", "Co", "Co", "Co", "Co", "Co", "Mo", "Mo", "Mo", "Mo", "Mo", "Mo"], "frac_coords": [[0.7107, 0.9546, 0.6646], [0.2528, 0.5681, 0.8205], [0.7260, 0.2260, 0.4590], [0.7498, 0.4616, 0.2113], [0.5861, 0.7108, 0.2961], [0.4546, 0.2107, 0.6646], [0.9616, 0.2498, 0.2113], [0.0681, 0.7528, 0.8205], [0.2108, 0.0861, 0.2961], [0.2333, 0.7333, 0.4590], [0.2376, 0.2376, 0.9747], [0.8420, 0.6991, 0.5407], [0.7376, 0.7375, 0.9747], [0.7095, 0.2095, 0.9188], [0.1991, 0.3420, 0.5407], [0.3270, 0.8270, 0.1540]]}

---

[2]
{"formula": "BaZnPd2", "functional": "PBE", "state": "relaxed", "ef_ev_per_atom": -0.3862, "rho_g_cm3": 6.16, "lattice": [[-1.4993, 4.7765, -1.1656], [-2.3023, -1.7588, -4.2459], [-9.0630, 0.3277, 1.6672]], "species": ["Zn", "Zn", "Pd", "Pd", "Pd", "Pd", "Ba", "Ba"], "frac_coords": [[0.2500, 0.7500, 0.5000], [0.5000, 0.5000, 0.0000], [0.8750, 0.6693, 0.7500], [0.4193, 0.1250, 0.2500], [0.3307, 0.6250, 0.2500], [0.3750, 0.5807, 0.7500], [0.0000, 0.0000, 0.0000], [0.7500, 0.2500, 0.5000]]}

---

[3]
{"formula": "LaHg2Cl", "functional": "PBE", "state": "relaxed", "e_form_raw_ev_per_atom": -0.7473, "de_polymorph_mev_per_atom": 92, "rho_g_cm3": 8.33, "lattice": [[6.9528, 0.0079, 0.0259], [-2.4362, 5.4257, -0.0006], [2.0803, 0.9293, 3.0502]], "species": ["Cl", "Hg", "Hg", "La"], "frac_coords": [[0.5000, 0.5000, 0.0000], [0.5000, 0.0000, 0.5000], [0.0000, 0.0000, 0.0000], [0.0000, 0.5000, 0.5000]]}

---

[4]
{"formula": "Rb2GeO2", "functional": "PBE", "state": "relaxed", "e_form_raw_ev_per_atom": -1.3906, "de_polymorph_mev_per_atom": 3, "rho_g_cm3": 3.33, "lattice": [[-1.2965, 0.9449, 6.9711], [4.2389, -8.7462, 1.9739], [7.4227, 3.1014, -2.1981]], "species": ["O", "O", "O", "O", "O", "O", "O", "O", "Rb", "Rb", "Rb", "Rb", "Rb", "Rb", "Rb", "Rb", "Ge", "Ge", "Ge", "Ge"], "frac_coords": [[0.1675, 0.9510, 0.4926], [0.8325, 0.0490, 0.5074], [0.3325, 0.4510, 0.5074], [0.6675, 0.5490, 0.4926], [0.7138, 0.3640, 0.7842], [0.7862, 0.8640, 0.2158], [0.2862, 0.6360, 0.2158], [0.2138, 0.1360, 0.7842], [0.4521, 0.1725, 0.5522], [0.0479, 0.6725, 0.4478], [0.0498, 0.2505, 0.0103], [0.9502, 0.7495, 0.9897], [0.5479, 0.8275, 0.4478], [0.5498, 0.2495, 0.0103], [0.4502, 0.7505, 0.9897], [0.9521, 0.3275, 0.5522], [0.4192, 0.4844, 0.3152], [0.5808, 0.5156, 0.6848], [0.9192, 0.0156, 0.3152], [0.0808, 0.9844, 0.6848]]}

---

Number 1: DOS(E_F) 18.0 states/eV per cell, VASP energy -8.299 eV/atom. Number 2: DOS(E_F) 2.7 states/eV per cell, VASP energy -3.782 eV/atom. Number 3: DOS(E_F) 2.2 states/eV per cell, VASP energy -2.592 eV/atom. Number 4: DOS(E_F) 0.0 states/eV per cell, VASP energy -4.684 eV/atom.